The following is a meta-GGA SCAN calculation of a PBEsol-optimized structure of PSeBr2, from Alexandria.

The structure in extended XYZ format:
```
4
Lattice="3.212 0.000 0.000 -1.606 2.924 0.000 0.000 0.000 9.541" Properties=species:S:1:pos:R:3 pbc="T T T"
P 1.606 0.000 4.771
Br 0.000 0.000 6.696
Br 0.000 0.000 2.845
Se 1.606 0.000 0.000
```

Output
Its formation energy from raw total energies is 644 meV/atom. As for the theoretical density: 4.999 g cm⁻³. Its total energy is -66.821 eV per formula unit.